A relaxed structure of PmPuThCd, computed with PBE-GGA.

Calculated values
Size of the total moment, μB/f.u.: 6.74
Calculated volume, Å³/cell: 459
Formation enthalpy at 0 K, eV/atom: 0.089

a = 7.715 Å, b = 7.715 Å, c = 7.715 Å
α = 90.00°, β = 90.00°, γ = 90.00°
Space group F-43m (No. 216)
One atom of each set of equivalent atoms:
Pm1 0.000 0.000 0.000 [4 per cell]
Pu1 0.250 0.250 0.250 [4 per cell]
Th1 0.000 0.000 0.500 [4 per cell]
Cd1 0.250 0.250 0.750 [4 per cell]



A relaxed structure of RbPmCd2, computed with PBE-GGA.

Calculated values
Size of the total moment, μB/f.u.: 0.33
Calculated volume, Å³/cell: 138
Formation enthalpy at 0 K, eV/atom: -0.092
Distance to the lowest polymorph of the same formula, eV per atom: 0.000

a = 3.938 Å, b = 3.938 Å, c = 8.868 Å
α = 90.00°, β = 90.00°, γ = 90.00°
Space group P4/mmm (No. 123)
One atom of each set of equivalent atoms:
Rb1 0.000 0.000 0.000 [1 per cell]
Pm1 0.000 0.000 0.500 [1 per cell]
Cd1 0.500 0.500 0.304 [2 per cell]



A relaxed structure of Rb2PmCd2S4, computed with PBE-GGA.

Calculated values
Size of the total moment, μB/f.u.: 0.00
Energy relative to the elements, uncorrected, eV per formula unit: -10.081
Calculated volume, Å³/cell: 517

a = 16.524 Å, b = 4.108 Å, c = 8.307 Å
α = 90.00°, β = 113.46°, γ = 90.00°
Space group C2/m (No. 12)
One atom of each set of equivalent atoms:
Rb1 0.126 0.000 0.056 [4 per cell]
Pm1 0.000 0.000 0.500 [2 per cell]
Cd1 0.186 0.500 0.521 [4 per cell]
S1 0.026 0.500 0.285 [4 per cell]
S2 0.186 0.000 0.717 [4 per cell]



| no. | DOS at the Fermi energy (states/eV per atom) |
| --- | --- |
| 1 | 4.153 |
| 2 | 0.840 |
| 3 | 0.334 |